# SrB3Pt, PBEsol geometry, DFT meta-GGA SCAN
data_SrB3Pt
_chemical_formula_sum 'Sr1 B3 Pt1'
_cell_length_a 4.314
_cell_length_b 4.314
_cell_length_c 4.314
_cell_angle_alpha 90.00
_cell_angle_beta 90.00
_cell_angle_gamma 90.00
_space_group_name_H-M_alt 'P m -3 m'
_space_group_IT_number 221
_space_group_name_Hall '-P 4 2 3'
loop_
_atom_site_label
_atom_site_fract_x
_atom_site_fract_y
_atom_site_fract_z
Sr1 0.000 0.000 0.000
B1 0.000 0.000 0.500
Pt1 0.500 0.500 0.500
# energy relative to the elements: 3.339 eV per atom
# polymorph energy (0 for the lowest one): 2.730 eV per atom